The following is a DFT calculation (meta-GGA SCAN) of a crystal of Mg2MnIn relaxed with PBEsol.

DFT formation energy, meV per atom: 34

Structure (POSCAR):
```
Mg2MnIn
1.0
1.547 0.893 9.646
-1.547 0.893 9.646
0.000 -1.786 9.646
Mg Mn In
2 1 1
direct
0.000 0.000 0.000
0.241 0.241 0.241
0.743 0.743 0.743
0.486 0.486 0.486
```


The following is a DFT calculation (meta-GGA SCAN) of a crystal of Mg2MnIn relaxed with PBEsol.

DFT formation energy, meV per atom: -140

Structure (POSCAR):
```
Mg2MnIn
1.0
4.174 0.000 0.000
0.000 4.174 0.000
0.000 0.000 4.299
Mg Mn In
2 1 1
direct
0.000 0.500 0.000
0.500 0.000 0.000
0.000 0.000 0.500
0.500 0.500 0.500
```


The following is a DFT calculation (meta-GGA SCAN) of a crystal of MgMn2In relaxed with PBEsol.

DFT formation energy, meV per atom: 26

Structure (POSCAR):
```
MgMn2In
1.0
0.000 3.226 3.226
3.226 0.000 3.226
3.226 3.226 0.000
Mg Mn In
1 2 1
direct
0.000 0.000 0.000
0.250 0.250 0.250
0.500 0.500 0.500
0.750 0.750 0.750
```


The following is a DFT calculation (meta-GGA SCAN) of a crystal of Mg2MnIn3S8 relaxed with PBEsol.

Raw formation energy, eV per atom: -0.999

Structure (POSCAR):
```
Mg2MnIn3S8
1.0
3.770 2.177 6.059
-3.770 2.177 6.059
0.000 -4.354 6.059
Mg Mn In S
2 1 3 8
direct
0.123 0.123 0.123
0.877 0.877 0.877
0.500 0.500 0.500
0.000 0.500 0.500
0.500 0.000 0.500
0.500 0.500 0.000
0.257 0.257 0.257
0.269 0.269 0.723
0.269 0.723 0.269
0.277 0.731 0.731
0.723 0.269 0.269
0.731 0.277 0.731
0.731 0.731 0.277
0.743 0.743 0.743
```


The following is a DFT calculation (meta-GGA SCAN) of a crystal of Mg2Mn3InS8 relaxed with PBEsol.

Raw formation energy, eV per atom: -1.052

Structure (POSCAR):
```
Mg2Mn3InS8
1.0
6.234 -3.604 0.000
6.234 3.604 0.000
-4.168 0.000 6.059
Mg Mn In S
2 3 1 8
direct
0.126 0.126 0.378
0.874 0.874 0.622
0.000 0.500 0.000
0.500 0.000 0.000
0.500 0.500 0.000
0.500 0.500 0.500
0.250 0.250 0.214
0.250 0.715 0.215
0.260 0.260 0.780
0.285 0.750 0.785
0.715 0.250 0.215
0.740 0.740 0.220
0.750 0.285 0.785
0.750 0.750 0.786
```


The following is a DFT calculation (meta-GGA SCAN) of a crystal of MgIn2Mo relaxed with PBEsol.

DFT formation energy, meV per atom: 247

Structure (POSCAR):
```
MgIn2Mo
1.0
4.879 -1.475 0.000
4.879 1.475 0.000
-0.775 0.000 5.403
Mg In Mo
1 2 1
direct
0.000 0.000 0.000
0.242 0.242 0.737
0.758 0.758 0.263
0.500 0.500 0.500
```


The following is a DFT calculation (meta-GGA SCAN) of a crystal of MgInMo2 relaxed with PBEsol.

DFT formation energy, meV per atom: 521

Structure (POSCAR):
```
MgInMo2
1.0
3.552 0.000 0.000
0.000 3.552 0.000
0.000 0.000 5.815
Mg In Mo
1 1 2
direct
0.000 0.000 0.000
0.000 0.000 0.500
0.500 0.500 0.296
0.500 0.500 0.704
```


The following is a DFT calculation (meta-GGA SCAN) of a crystal of MgIn2Mo relaxed with PBEsol.

DFT formation energy, meV per atom: 534

Structure (POSCAR):
```
MgIn2Mo
1.0
0.000 3.381 3.381
3.381 0.000 3.381
3.381 3.381 0.000
Mg In Mo
1 2 1
direct
0.000 0.000 0.000
0.250 0.250 0.250
0.500 0.500 0.500
0.750 0.750 0.750
```


The following is a DFT calculation (meta-GGA SCAN) of a crystal of MgInMo2 relaxed with PBEsol.

DFT formation energy, meV per atom: 492

Structure (POSCAR):
```
MgInMo2
1.0
1.449 0.836 9.589
-1.449 0.836 9.589
0.000 -1.673 9.589
Mg In Mo
1 1 2
direct
0.000 0.000 0.000
0.500 0.500 0.500
0.250 0.250 0.250
0.750 0.750 0.750
```


The following is a DFT calculation (meta-GGA SCAN) of a crystal of MgInMo2 relaxed with PBEsol.

DFT formation energy, meV per atom: 208

Structure (POSCAR):
```
MgInMo2
1.0
0.000 3.228 3.228
3.228 0.000 3.228
3.228 3.228 0.000
Mg In Mo
1 1 2
direct
0.000 0.000 0.000
0.250 0.250 0.250
0.500 0.500 0.500
0.750 0.750 0.750
```


The following is a DFT calculation (meta-GGA SCAN) of a crystal of MgNbIn2Mo relaxed with PBEsol.

DFT formation energy, meV per atom: 1155

Structure (POSCAR):
```
MgNbIn2Mo
1.0
5.078 0.000 0.000
0.000 5.078 0.000
0.000 0.000 4.925
Mg Nb In Mo
1 1 2 1
direct
0.000 0.000 0.000
0.500 0.500 0.000
0.000 0.500 0.500
0.500 0.000 0.500
0.000 0.000 0.500
```


The following is a DFT calculation (meta-GGA SCAN) of a crystal of MgInN2 relaxed with PBEsol.

Raw formation energy, eV per atom: -0.048

Structure (POSCAR):
```
MgInN2
1.0
-2.439 2.439 4.871
2.439 -2.439 4.871
2.439 2.439 -4.871
Mg In N
2 2 4
direct
0.000 0.000 0.000
0.750 0.250 0.500
0.250 0.750 0.500
0.500 0.500 0.000
0.117 0.625 0.992
0.375 0.367 0.492
0.633 0.125 0.008
0.875 0.883 0.508
```


The following is a DFT calculation (meta-GGA SCAN) of a crystal of Mg3InN relaxed with PBEsol.

Raw formation energy, eV per atom: 1.072

Structure (POSCAR):
```
Mg3InN
1.0
5.240 0.000 0.000
0.000 5.240 0.000
0.000 0.000 5.240
Mg In N
3 1 1
direct
0.000 0.000 0.500
0.000 0.500 0.000
0.500 0.000 0.000
0.000 0.000 0.000
0.500 0.500 0.500
```


The following is a DFT calculation (meta-GGA SCAN) of a crystal of Mg3InN relaxed with PBEsol.

Raw formation energy, eV per atom: -0.487

Structure (POSCAR):
```
Mg3InN
1.0
4.359 0.000 0.000
0.000 4.359 0.000
0.000 0.000 4.359
Mg In N
3 1 1
direct
0.000 0.000 0.500
0.000 0.500 0.000
0.500 0.000 0.000
0.500 0.500 0.500
0.000 0.000 0.000
```


The following is a DFT calculation (meta-GGA SCAN) of a crystal of MgInTeN2 relaxed with PBEsol.

Raw formation energy, eV per atom: 0.949

Structure (POSCAR):
```
MgInTeN2
1.0
4.220 0.000 0.000
0.000 4.220 0.000
0.000 0.000 6.031
Mg In Te N
1 1 1 2
direct
0.000 0.000 0.000
0.500 0.500 0.500
0.500 0.500 0.000
0.000 0.500 0.500
0.500 0.000 0.500
```


The following is a DFT calculation (meta-GGA SCAN) of a crystal of NaMgIn2Ni relaxed with PBEsol.

DFT formation energy, meV per atom: -169

Structure (POSCAR):
```
NaMgIn2Ni
1.0
4.873 0.000 0.000
0.000 4.873 0.000
0.000 0.000 4.887
Na Mg In Ni
1 1 2 1
direct
0.000 0.000 0.000
0.500 0.500 0.000
0.000 0.500 0.500
0.500 0.000 0.500
0.500 0.500 0.500
```


The following is a DFT calculation (meta-GGA SCAN) of a crystal of NaMgInSb2 relaxed with PBEsol.

Raw formation energy, eV per atom: 0.574

Structure (POSCAR):
```
NaMgInSb2
1.0
5.417 0.000 0.000
0.000 5.417 0.000
0.000 0.000 5.237
Na Mg In Sb
1 1 1 2
direct
0.000 0.000 0.000
0.500 0.500 0.500
0.000 0.000 0.500
0.000 0.500 0.000
0.500 0.000 0.000
```


The following is a DFT calculation (meta-GGA SCAN) of a crystal of Nd2MgIn relaxed with PBEsol.

DFT formation energy, meV per atom: -429

Structure (POSCAR):
```
Nd2MgIn
1.0
0.000 3.815 3.815
3.815 0.000 3.815
3.815 3.815 0.000
Nd Mg In
2 1 1
direct
0.250 0.250 0.250
0.750 0.750 0.750
0.000 0.000 0.000
0.500 0.500 0.500
```


The following is a DFT calculation (meta-GGA SCAN) of a crystal of NdMgIn relaxed with PBEsol.

DFT formation energy, meV per atom: -567

Structure (POSCAR):
```
NdMgIn
1.0
7.615 0.000 0.000
-3.808 6.595 0.000
0.000 0.000 4.709
Nd Mg In
3 3 3
direct
0.000 0.431 0.000
0.431 0.000 0.000
0.569 0.569 0.000
0.000 0.758 0.500
0.242 0.242 0.500
0.758 0.000 0.500
0.000 0.000 0.000
0.333 0.667 0.500
0.667 0.333 0.500
```


The following is a DFT calculation (meta-GGA SCAN) of a crystal of MgInNi relaxed with PBEsol.

DFT formation energy, meV per atom: -146

Structure (POSCAR):
```
MgInNi
1.0
-1.624 1.624 4.639
1.624 -1.624 4.639
1.624 1.624 -4.639
Mg In Ni
1 1 1
direct
0.000 0.000 0.000
0.301 0.301 0.000
0.649 0.649 0.000
```